1.
KBiP2S7: single point on PBEsol structure, meta-GGA SCAN.

Summary:
Space group: P2_1/c (14)
ΔE_f (raw) (eV per formula unit): -6.22

Cell lengths 9.0102, 9.5128, 12.2839 Å; angles 90.00, 90.00, 90.14 degrees
Atoms (fractional coordinates):
K: 0.6278 0.1121 0.3083
K: 0.8722 0.8879 0.8083
K: 0.3722 0.8879 0.6917
K: 0.1278 0.1121 0.1917
Bi: 0.3885 0.6515 0.3616
Bi: 0.1115 0.3485 0.8616
Bi: 0.6115 0.3485 0.6384
Bi: 0.8885 0.6515 0.1384
P: 0.0228 0.7762 0.3959
P: 0.4772 0.2238 0.8959
P: 0.9772 0.2238 0.6041
P: 0.5228 0.7762 0.1041
P: 0.3003 0.3169 0.4631
P: 0.1997 0.6831 0.9631
P: 0.6997 0.6831 0.5369
P: 0.8003 0.3169 0.0369
S: 0.8516 0.3472 0.1952
S: 0.6484 0.6528 0.6952
S: 0.1484 0.6528 0.8048
S: 0.3516 0.3472 0.3048
S: 0.8877 0.8774 0.2902
S: 0.6123 0.1226 0.7902
S: 0.1123 0.1226 0.7098
S: 0.3877 0.8774 0.2098
S: 0.0733 0.8386 0.0285
S: 0.4267 0.1614 0.5285
S: 0.9267 0.1614 0.9715
S: 0.5733 0.8386 0.4715
S: 0.5763 0.5885 0.1726
S: 0.9237 0.4115 0.6726
S: 0.4237 0.4115 0.8274
S: 0.0763 0.5885 0.3274
S: 0.8169 0.4923 0.9430
S: 0.6831 0.5077 0.4430
S: 0.1831 0.5077 0.0570
S: 0.3169 0.4923 0.5570
S: 0.9234 0.7506 0.5519
S: 0.5766 0.2494 0.0519
S: 0.0766 0.2494 0.4481
S: 0.4234 0.7506 0.9481
S: 0.7099 0.8760 0.0549
S: 0.7901 0.1240 0.5549
S: 0.2901 0.1240 0.9451
S: 0.2099 0.8760 0.4451

2.
Os3C4: single point on PBEsol structure, meta-GGA SCAN.

Summary:
Space group: P6/mmm (191)
E_form (kcal/mol of atoms): 33.1

Cell lengths 2.6415, 5.7475, 5.7475 Å; angles 120.00, 90.00, 90.00 degrees
Atoms (fractional coordinates):
C: 0.7465 0.0000 0.0000
C: 0.2535 0.0000 0.0000
C: 0.5000 0.3333 0.6667
C: 0.5000 0.6667 0.3333
Os: 0.0000 0.0000 0.5000
Os: 0.0000 0.5000 0.0000
Os: 0.0000 0.5000 0.5000

3.
CaO: single point on PBEsol structure, meta-GGA SCAN.

Summary:
Space group: P6_3/mmc (194)
ΔE_f (raw) (eV per formula unit): -6.28

Cell lengths 3.9633, 3.9633, 4.7499 Å; angles 90.00, 90.00, 120.00 degrees
Atoms (fractional coordinates):
Ca: 0.6667 0.3333 0.2500
Ca: 0.3333 0.6667 0.7500
O: 0.6667 0.3333 0.7500
O: 0.3333 0.6667 0.2500

4.
AgHg2Pt: single point on PBEsol structure, meta-GGA SCAN.

Summary:
Space group: Cmmm (65)
E_form (kcal/mol of atoms): 2.0
Distance to the lowest polymorph of the same formula (eV per atom): 0.000

Cell lengths 2.9405, 2.9405, 8.2636 Å; angles 90.00, 90.00, 89.24 degrees
Atoms (fractional coordinates):
Ag: 0.5000 0.5000 0.0000
Hg: 0.0000 0.0000 0.2578
Hg: 0.0000 0.0000 0.7422
Pt: 0.5000 0.5000 0.5000

5.
GeTe2CN: single point on PBEsol structure, meta-GGA SCAN.

Summary:
Space group: P4/mmm (123)
ΔE_f (raw) (eV per formula unit): 9.66

Cell lengths 3.4456, 5.4428, 5.4428 Å; angles 90.00, 90.00, 90.00 degrees
Atoms (fractional coordinates):
Ge: 0.0000 0.0000 0.0000
Te: 0.0000 0.0000 0.5000
Te: 0.0000 0.5000 0.0000
C: 0.5000 0.5000 0.5000
N: 0.5000 0.0000 0.0000

6.
RbCrSe2N: single point on PBEsol structure, meta-GGA SCAN.

Summary:
Space group: P4/mmm (123)
ΔE_f (raw) (eV per formula unit): -1.14

Cell lengths 3.5531, 5.2481, 5.2481 Å; angles 90.00, 90.00, 90.00 degrees
Atoms (fractional coordinates):
Cr: 0.0000 0.0000 0.0000
Se: 0.0000 0.0000 0.5000
Se: 0.0000 0.5000 0.0000
Rb: 0.5000 0.5000 0.5000
N: 0.5000 0.0000 0.0000

7.
ZrSc: single point on PBEsol structure, meta-GGA SCAN.

Summary:
Space group: P6_3/mmc (194)
E_form (kcal/mol of atoms): 1.3

Cell lengths 3.1877, 3.1877, 10.3305 Å; angles 90.00, 90.00, 120.00 degrees
Atoms (fractional coordinates):
Sc: 0.0000 0.0000 0.0000
Sc: 0.0000 0.0000 0.5000
Zr: 0.6667 0.3333 0.7500
Zr: 0.3333 0.6667 0.2500

8.
SrCoCl: single point on PBEsol structure, meta-GGA SCAN.

Summary:
Space group: F-43m (216)
ΔE_f (raw) (eV per formula unit): -1.43

Cell lengths 5.0058, 5.0058, 5.0058 Å; angles 60.00, 60.00, 60.00 degrees
Atoms (fractional coordinates):
Sr: 0.2500 0.2500 0.2500
Co: 0.5000 0.5000 0.5000
Cl: 0.0000 0.0000 0.0000